Model one:
This record from Alexandria describes a relaxed HSe2F crystal. The functional is GGA-PBE.

abc: 4.265 6.634 8.152
angles: 113.30 104.14 92.46
Fractional positions:
H1 0.984 0.073 0.741
H2 0.499 0.088 0.771
Se1 0.356 0.499 0.402
Se2 0.047 0.174 0.342
Se3 0.209 0.852 0.108
Se4 0.960 0.588 0.169
F1 0.326 0.121 0.837
F2 0.745 0.039 0.674

Computed properties:
As for the space group: Cc, No. 9. For the total magnetization, the calculation gives 0.0000 μB per atom. Its calculated volume is 202.87 Å³ per cell.

Model two:
This record from Alexandria describes a relaxed HSe2F crystal. The functional is GGA-PBE.

abc: 4.180 6.714 7.532
angles: 119.30 102.36 92.75
Fractional positions:
H1 0.012 0.286 0.796
H2 0.513 0.428 0.773
Se1 0.058 0.510 0.229
Se2 0.793 0.176 0.873
Se3 0.287 0.605 0.807
Se4 0.425 0.758 0.172
F1 0.387 0.369 0.311
F2 0.609 0.911 0.566

Computed properties:
As for the space group: P1, No. 1. For the total magnetization, the calculation gives 0.0000 μB per atom. Its calculated volume is 177.13 Å³ per cell.

Model three:
This record from Alexandria describes a relaxed HSe2F crystal. The functional is GGA-PBE.

abc: 7.768 7.768 7.768
angles: 21.79 21.79 21.79
Fractional positions:
H1 0.000 0.000 0.000
Se1 0.922 0.922 0.922
Se2 0.078 0.078 0.078
F1 0.500 0.500 0.500

Computed properties:
As for the space group: R-3m, No. 166. For the total magnetization, the calculation gives 0.0000 μB per atom. Its calculated volume is 56.62 Å³ per cell.

Model four:
This record from Alexandria describes a relaxed HSe2F crystal. The functional is GGA-PBE.

abc: 3.816 5.607 8.601
angles: 75.54 89.62 71.25
Fractional positions:
H1 0.165 0.682 0.104
H2 0.971 0.290 0.301
Se1 0.803 0.727 0.453
Se2 0.239 0.405 0.355
Se3 0.466 0.161 0.833
Se4 0.846 0.459 0.758
F1 0.738 0.007 0.250
F2 0.163 0.751 0.989

Computed properties:
As for the space group: P1, No. 1. For the total magnetization, the calculation gives 0.0000 μB per atom. Its calculated volume is 168.21 Å³ per cell.

model one has the most favorable energy; the next structure is 224 meV per atom above.

Model one:
This record from Alexandria describes a relaxed HSeF2 crystal. The functional is GGA-PBE.

abc: 4.176 3.510 8.578
angles: 90.00 92.16 90.00
Fractional positions:
H1 0.018 0.500 0.614
H2 0.522 0.500 0.588
Se1 0.052 0.000 0.190
Se2 0.723 0.500 0.064
F1 0.306 0.500 0.531
F2 0.815 0.500 0.672
F3 0.354 0.000 0.985
F4 0.813 0.000 0.365

Computed properties:
As for the space group: Pm, No. 6. For the total magnetization, the calculation gives 0.0000 μB per atom. Its calculated volume is 125.67 Å³ per cell.

Model two:
This record from Alexandria describes a relaxed HSeF2 crystal. The functional is GGA-PBE.

abc: 3.444 5.876 6.657
angles: 80.26 80.31 89.76
Fractional positions:
H1 0.412 0.381 0.638
H2 0.705 0.689 0.582
Se1 0.412 0.087 0.274
Se2 0.956 0.352 0.118
F1 0.282 0.249 0.593
F2 0.569 0.565 0.709
F3 0.473 0.911 0.076
F4 0.854 0.828 0.421

Computed properties:
As for the space group: P1, No. 1. For the total magnetization, the calculation gives 0.0000 μB per atom. Its calculated volume is 130.85 Å³ per cell.

model two has the most favorable energy; the next structure is 7 meV per atom above.

Model one:
This record from Alexandria describes a relaxed HSeF2 crystal. The functional is GGA-PBE.

abc: 6.220 6.220 6.220
angles: 27.05 27.05 27.05
Fractional positions:
H1 0.500 0.500 0.500
Se1 0.000 0.000 0.000
F1 0.887 0.887 0.887
F2 0.113 0.113 0.113

Computed properties:
As for the space group: R-3m, No. 166. For the total magnetization, the calculation gives 0.0000 μB per atom. Its calculated volume is 43.90 Å³ per cell.

Model two:
This record from Alexandria describes a relaxed HSeF2 crystal. The functional is GGA-PBE.

abc: 6.525 6.525 6.525
angles: 25.86 25.86 25.86
Fractional positions:
H1 0.000 0.000 0.000
Se1 0.500 0.500 0.500
F1 0.939 0.939 0.939
F2 0.061 0.061 0.061

Computed properties:
As for the space group: R-3m, No. 166. For the total magnetization, the calculation gives 0.0000 μB per atom. Its calculated volume is 46.55 Å³ per cell.

model two has the most favorable energy; the next structure is 441 meV per atom above.

Model one:
This record from Alexandria describes a relaxed HSeF2 crystal. The functional is GGA-PBE.

abc: 3.513 4.195 8.404
angles: 88.30 78.38 89.98
Fractional positions:
H1 0.360 0.057 0.377
H2 0.343 0.560 0.405
Se1 0.642 0.094 0.817
Se2 0.079 0.768 0.948
F1 0.730 0.853 0.634
F2 0.397 0.853 0.317
F3 0.540 0.398 0.029
F4 0.306 0.346 0.463

Computed properties:
As for the space group: P1, No. 1. For the total magnetization, the calculation gives 0.0000 μB per atom. Its calculated volume is 121.26 Å³ per cell.

Model two:
This record from Alexandria describes a relaxed HSeF2 crystal. The functional is GGA-PBE.

abc: 3.442 5.477 7.177
angles: 94.75 80.02 90.26
Fractional positions:
H1 0.010 0.624 0.443
H2 0.799 0.562 0.731
Se1 0.280 0.295 0.047
Se2 0.723 0.065 0.198
F1 0.188 0.643 0.316
F2 0.735 0.606 0.600
F3 0.358 0.107 0.828
F4 0.834 0.508 0.898

Computed properties:
As for the space group: P1, No. 1. For the total magnetization, the calculation gives 0.0000 μB per atom. Its calculated volume is 132.78 Å³ per cell.

model two has the most favorable energy; the next structure is 9 meV per atom above.

Model one:
This record from Alexandria describes a relaxed HSeF2 crystal. The functional is GGA-PBE.

abc: 3.503 6.053 6.701
angles: 111.55 104.64 99.10
Fractional positions:
H1 0.816 0.611 0.356
H2 0.290 0.460 0.800
Se1 0.671 0.043 0.016
Se2 0.243 0.943 0.224
F1 0.904 0.389 0.260
F2 0.181 0.308 0.809
F3 0.462 0.706 0.784
F4 0.804 0.788 0.426

Computed properties:
As for the space group: P1, No. 1. For the total magnetization, the calculation gives 0.0000 μB per atom. Its calculated volume is 122.81 Å³ per cell.

Model two:
This record from Alexandria describes a relaxed HSeF2 crystal. The functional is GGA-PBE.

abc: 3.450 6.195 6.667
angles: 111.96 106.50 87.22
Fractional positions:
H1 0.213 0.402 0.473
H2 0.006 0.266 0.880
Se1 0.938 0.782 0.883
Se2 0.583 0.970 0.163
F1 0.244 0.579 0.527
F2 0.182 0.166 0.411
F3 0.839 0.005 0.751
F4 0.131 0.421 0.974

Computed properties:
As for the space group: P1, No. 1. For the total magnetization, the calculation gives 0.0000 μB per atom. Its calculated volume is 126.47 Å³ per cell.

Model three:
This record from Alexandria describes a relaxed HSeF2 crystal. The functional is GGA-PBE.

abc: 3.469 6.389 6.064
angles: 77.28 75.41 81.67
Fractional positions:
H1 0.915 0.452 0.470
H2 0.857 0.635 0.746
Se1 0.667 0.212 0.087
Se2 0.293 0.005 0.939
F1 0.998 0.454 0.299
F2 0.798 0.460 0.710
F3 0.578 0.058 0.379
F4 0.905 0.787 0.780

Computed properties:
As for the space group: P1, No. 1. For the total magnetization, the calculation gives 0.0000 μB per atom. Its calculated volume is 126.30 Å³ per cell.

model three has the most favorable energy; the next structure is 24 meV per atom above.

Model one:
This record from Alexandria describes a relaxed HSeF2 crystal. The functional is GGA-PBE.

abc: 3.458 5.950 6.775
angles: 102.35 104.69 90.09
Fractional positions:
H1 0.074 0.611 0.388
H2 0.738 0.532 0.718
Se1 0.416 0.914 0.073
Se2 0.038 0.101 0.316
F1 0.994 0.381 0.228
F2 0.813 0.742 0.866
F3 0.684 0.382 0.611
F4 0.117 0.767 0.476

Computed properties:
As for the space group: P1, No. 1. For the total magnetization, the calculation gives 0.0000 μB per atom. Its calculated volume is 131.48 Å³ per cell.

Model two:
This record from Alexandria describes a relaxed HSeF2 crystal. The functional is GGA-PBE.

abc: 4.715 4.715 4.866
angles: 61.02 61.02 90.00
Fractional positions:
H1 0.500 0.500 0.000
H2 0.250 0.750 0.500
Se1 0.000 0.000 0.000
Se2 0.750 0.250 0.500
F1 0.422 0.125 0.250
F2 0.328 0.625 0.250
F3 0.375 0.578 0.750
F4 0.875 0.672 0.750

Computed properties:
As for the space group: I-42d, No. 122. For the total magnetization, the calculation gives 0.0000 μB per atom. Its calculated volume is 78.81 Å³ per cell.

model one has the most favorable energy; the next structure is 774 meV per atom above.

Model one:
This record from Alexandria describes a relaxed HSeF3 crystal. The functional is GGA-PBE.

abc: 3.597 3.597 3.597
angles: 90.00 90.00 90.00
Fractional positions:
H1 0.000 0.000 0.000
Se1 0.500 0.500 0.500
F1 0.000 0.500 0.000
F2 0.000 0.000 0.500
F3 0.500 0.000 0.000

Computed properties:
As for the space group: Pm-3m, No. 221. For the total magnetization, the calculation gives 0.0000 μB per atom. Its calculated volume is 46.52 Å³ per cell.

Model two:
This record from Alexandria describes a relaxed HSeF3 crystal. The functional is GGA-PBE.

abc: 4.186 4.186 4.186
angles: 90.00 90.00 90.00
Fractional positions:
H1 0.500 0.500 0.500
Se1 0.000 0.000 0.000
F1 0.000 0.500 0.000
F2 0.000 0.000 0.500
F3 0.500 0.000 0.000

Computed properties:
As for the space group: Pm-3m, No. 221. For the total magnetization, the calculation gives 0.1974 μB per atom. Its calculated volume is 73.38 Å³ per cell.

model two has the most favorable energy; the next structure is 228 meV per atom above.

Model one:
This record from Alexandria describes a relaxed H3SeF crystal. The functional is GGA-PBE.

abc: 3.462 3.462 3.462
angles: 90.00 90.00 90.00
Fractional positions:
H1 0.000 0.500 0.000
H2 0.000 0.000 0.500
H3 0.500 0.000 0.000
Se1 0.500 0.500 0.500
F1 0.000 0.000 0.000

Computed properties:
As for the space group: Pm-3m, No. 221. For the total magnetization, the calculation gives 0.0031 μB per atom. Its calculated volume is 41.49 Å³ per cell.

Model two:
This record from Alexandria describes a relaxed H3SeF crystal. The functional is GGA-PBE.

abc: 7.364 7.364 7.364
angles: 37.63 37.63 37.63
Fractional positions:
H1 0.899 0.899 0.390
H2 0.390 0.899 0.899
H3 0.899 0.390 0.899
H4 0.399 0.890 0.399
H5 0.890 0.399 0.399
H6 0.399 0.399 0.890
Se1 0.024 0.024 0.024
Se2 0.524 0.524 0.524
F1 0.758 0.758 0.758
F2 0.258 0.258 0.258

Computed properties:
As for the space group: R3m, No. 160. For the total magnetization, the calculation gives 0.0000 μB per atom. Its calculated volume is 133.54 Å³ per cell.

Model three:
This record from Alexandria describes a relaxed H3SeF crystal. The functional is GGA-PBE.

abc: 3.473 3.473 3.473
angles: 90.00 90.00 90.00
Fractional positions:
H1 0.000 0.500 0.000
H2 0.000 0.000 0.500
H3 0.500 0.000 0.000
Se1 0.000 0.000 0.000
F1 0.500 0.500 0.500

Computed properties:
As for the space group: Pm-3m, No. 221. For the total magnetization, the calculation gives 0.0000 μB per atom. Its calculated volume is 41.88 Å³ per cell.

model two has the most favorable energy; the next structure is 520 meV per atom above.

Model one:
This record from Alexandria describes a relaxed TlSiHSeF crystal. The functional is GGA-PBE.

abc: 3.462 5.116 6.110
angles: 82.41 82.99 86.47
Fractional positions:
Tl1 0.391 0.963 0.975
Si1 0.548 0.549 0.434
H1 0.886 0.688 0.260
Se1 0.968 0.504 0.717
F1 0.576 0.253 0.347

Computed properties:
As for the space group: P1, No. 1. For the total magnetization, the calculation gives 0.0000 μB per atom. Its calculated volume is 106.35 Å³ per cell.

Model two:
This record from Alexandria describes a relaxed TlSiHSeF crystal. The functional is GGA-PBE.

abc: 4.961 4.594 5.233
angles: 90.00 96.77 90.00
Fractional positions:
Tl1 0.817 0.000 0.995
Si1 0.423 0.500 0.531
H1 0.694 0.500 0.707
Se1 0.253 0.000 0.564
F1 0.547 0.500 0.245

Computed properties:
As for the space group: Pm, No. 6. For the total magnetization, the calculation gives 0.0000 μB per atom. Its calculated volume is 118.44 Å³ per cell.

model two has the most favorable energy; the next structure is 87 meV per atom above.

Model one:
This record from Alexandria describes a relaxed SiH3F crystal. The functional is GGA-PBE.

abc: 4.810 4.508 6.969
angles: 90.09 89.99 89.90
Fractional positions:
Si1 0.724 0.875 0.299
Si2 0.224 0.478 0.799
H1 0.523 0.394 0.800
H2 0.580 0.970 0.121
H3 0.081 0.382 0.621
H4 0.023 0.958 0.299
H5 0.080 0.383 0.977
H6 0.581 0.971 0.478
F1 0.714 0.511 0.299
F2 0.214 0.842 0.799

Computed properties:
As for the space group: P1, No. 1. For the total magnetization, the calculation gives 0.0000 μB per atom. Its calculated volume is 151.10 Å³ per cell.

Model two:
This record from Alexandria describes a relaxed SiH3F crystal. The functional is GGA-PBE.

abc: 3.282 3.282 3.282
angles: 90.00 90.00 90.00
Fractional positions:
H1 0.000 0.500 0.000
H2 0.000 0.000 0.500
H3 0.500 0.000 0.000
Si1 0.000 0.000 0.000
F1 0.500 0.500 0.500

Computed properties:
As for the space group: Pm-3m, No. 221. For the total magnetization, the calculation gives 0.0000 μB per atom. Its calculated volume is 35.35 Å³ per cell.

Model three:
This record from Alexandria describes a relaxed SiH3F crystal. The functional is GGA-PBE.

abc: 5.974 5.974 5.974
angles: 102.91 126.19 100.73
Fractional positions:
Si1 0.451 0.023 0.929
Si2 0.094 0.523 0.071
H1 0.942 0.357 0.753
H2 0.942 0.689 0.085
H3 0.604 0.857 0.915
H4 0.140 0.381 0.260
H5 0.604 0.189 0.247
H6 0.121 0.881 0.740
F1 0.433 0.709 0.224
F2 0.485 0.209 0.776

Computed properties:
As for the space group: Ima2, No. 46. For the total magnetization, the calculation gives 0.0000 μB per atom. Its calculated volume is 153.37 Å³ per cell.

model one has the most favorable energy; the next structure is 6 meV per atom above.